## Li4V3Fe5O16 (PBE with a Hubbard U)

Data for a geometry-optimized Li4V3Fe5O16 structure.

Output
Calculated total energy in eV/atom: -6.679
Theoretical density in g cm⁻³: 4.06
Magnetization in μB per formula unit: 27.0
Calculated volume in Å³ per atom: 10.46

Unit cell a=5.917 b=5.920 c=9.597 alpha=90.87 beta=89.23 gamma=119.43
Each line ends with the local moment (μB).
Fractional positions:
V: 0.658 0.834 0.716  1.08
O: 0.966 0.463 0.336  0.14
Li: 0.667 0.333 0.893  0.01
Fe: 0.342 0.164 0.214  4.33
Li: 0.001 0.998 0.996  0.01
Li: 0.991 0.006 0.496  0.01
O: 0.831 0.168 0.606  0.06
V: 0.837 0.174 0.216  0.18
Li: 0.342 0.662 0.395  0.01
Fe: 0.335 0.669 0.991  4.36
Fe: 0.830 0.661 0.212  4.33
O: 0.681 0.319 0.103  0.16
O: 0.539 0.036 0.337  0.16
O: 0.995 0.006 0.309  0.16
O: 0.524 0.476 0.340  0.28
O: 0.995 0.005 0.810  0.10
Fe: 0.661 0.336 0.491  4.36
O: 0.151 0.325 0.104  0.14
O: 0.824 0.680 0.601  0.13
O: 0.480 0.520 0.838  0.09
O: 0.039 0.511 0.836  0.12
O: 0.674 0.849 0.103  0.17
O: 0.319 0.174 0.601  0.13
V: 0.164 0.341 0.716  1.08
O: 0.489 0.961 0.836  0.12
Fe: 0.167 0.833 0.711  4.32
O: 0.163 0.835 0.098  0.26
O: 0.336 0.662 0.603  0.11